## DyScNiAu (PBE)

Data for a relaxed structure of DyScNiAu.

energy of formation from the pure elements = -55.7 kJ/mol of atoms
crystal system = cubic

Geometry as CIF:
```
data_DyScNiAu
_chemical_formula_sum 'Dy4 Sc4 Ni4 Au4'
_cell_length_a 6.819
_cell_length_b 6.819
_cell_length_c 6.819
_cell_angle_alpha 90.00
_cell_angle_beta 90.00
_cell_angle_gamma 90.00
_space_group_name_H-M_alt 'F -4 3 m'
_space_group_IT_number 216
_space_group_name_Hall 'F -4 2 3'
loop_
_atom_site_label
_atom_site_type_symbol
_atom_site_fract_x
_atom_site_fract_y
_atom_site_fract_z
_atom_site_occupancy
Dy1 Dy 0.000 0.000 0.000 1
Sc1 Sc 0.000 0.000 0.500 1
Ni1 Ni 0.250 0.250 0.750 1
Au1 Au 0.250 0.250 0.250 1
```

---

## Dy2Si4Ni3Au (PBE)

Data for a relaxed structure of Dy2Si4Ni3Au.

crystal system = tetragonal
energy relative to the elements, uncorrected = -7.8 eV per formula unit

Geometry as CIF:
```
data_Dy2Si4Ni3Au
_chemical_formula_sum 'Dy2 Si4 Ni3 Au1'
_cell_length_a 4.029
_cell_length_b 4.029
_cell_length_c 9.691
_cell_angle_alpha 90.00
_cell_angle_beta 90.00
_cell_angle_gamma 90.00
_space_group_name_H-M_alt 'P -4 m 2'
_space_group_IT_number 115
_space_group_name_Hall 'P -4 -2'
loop_
_atom_site_label
_atom_site_type_symbol
_atom_site_fract_x
_atom_site_fract_y
_atom_site_fract_z
_atom_site_occupancy
Dy1 Dy 0.000 0.500 0.240 1
Si1 Si 0.000 0.000 0.000 1
Si2 Si 0.000 0.500 0.648 1
Si3 Si 0.500 0.500 0.000 1
Ni1 Ni 0.000 0.500 0.882 1
Ni2 Ni 0.500 0.500 0.500 1
Au1 Au 0.000 0.000 0.500 1
```

---

## Dy3Si6Ni2Au (PBE)

Data for a relaxed structure of Dy3Si6Ni2Au.

crystal system = trigonal
energy relative to the elements, uncorrected = -3.3 eV per formula unit

Geometry as CIF:
```
data_Dy3Si6Ni2Au
_chemical_formula_sum 'Dy3 Si6 Ni2 Au1'
_cell_length_a 5.6313
_cell_length_b 5.6313
_cell_length_c 8.1346
_cell_angle_alpha 90.00
_cell_angle_beta 90.00
_cell_angle_gamma 120.00
_space_group_name_H-M_alt 'P -3 m 1'
_space_group_IT_number 164
_space_group_name_Hall '-P 3 2"'
loop_
_atom_site_label
_atom_site_type_symbol
_atom_site_fract_x
_atom_site_fract_y
_atom_site_fract_z
_atom_site_occupancy
Dy1 Dy 0.0000 0.0000 0.0000 1
Dy2 Dy 0.3333 0.6667 0.6005 1
Si1 Si 0.1896 0.3793 0.2679 1
Ni1 Ni 0.3333 0.6667 0.0374 1
Au1 Au 0.0000 0.0000 0.5000 1
```

---

## SmDyNiAu (PBE)

Data for a relaxed structure of SmDyNiAu.

energy of formation from the pure elements = -58.3 kJ/mol of atoms
crystal system = orthorhombic

Geometry as CIF:
```
data_SmDyNiAu
_chemical_formula_sum 'Sm2 Dy2 Ni2 Au2'
_cell_length_a 4.580
_cell_length_b 3.827
_cell_length_c 10.480
_cell_angle_alpha 90.00
_cell_angle_beta 90.00
_cell_angle_gamma 90.00
_space_group_name_H-M_alt 'A m m 2'
_space_group_IT_number 38
_space_group_name_Hall 'A 2 -2'
loop_
_atom_site_label
_atom_site_type_symbol
_atom_site_fract_x
_atom_site_fract_y
_atom_site_fract_z
_atom_site_occupancy
Sm1 Sm 0.000 0.000 0.000 1
Dy1 Dy 0.500 0.000 0.720 1
Ni1 Ni 0.000 0.000 0.276 1
Au1 Au 0.500 0.000 0.434 1
```

---

## DyNiSnAu (PBE)

Data for a relaxed structure of DyNiSnAu.

energy of formation from the pure elements = -48.8 kJ/mol of atoms
crystal system = cubic

Geometry as CIF:
```
data_DyNiSnAu
_chemical_formula_sum 'Dy4 Ni4 Sn4 Au4'
_cell_length_a 6.783
_cell_length_b 6.783
_cell_length_c 6.783
_cell_angle_alpha 90.00
_cell_angle_beta 90.00
_cell_angle_gamma 90.00
_space_group_name_H-M_alt 'F -4 3 m'
_space_group_IT_number 216
_space_group_name_Hall 'F -4 2 3'
loop_
_atom_site_label
_atom_site_type_symbol
_atom_site_fract_x
_atom_site_fract_y
_atom_site_fract_z
_atom_site_occupancy
Dy1 Dy 0.000 0.000 0.000 1
Ni1 Ni 0.250 0.250 0.750 1
Sn1 Sn 0.000 0.000 0.500 1
Au1 Au 0.250 0.250 0.250 1
```

---

## DyThNiAu (PBE)

Data for a relaxed structure of DyThNiAu.

energy of formation from the pure elements = -59.0 kJ/mol of atoms
crystal system = orthorhombic
energy relative to the lowest polymorph listed for this composition = 0 kJ/mol of formula units

Geometry as CIF:
```
data_DyThNiAu
_chemical_formula_sum 'Dy2 Th2 Ni2 Au2'
_cell_length_a 4.256
_cell_length_b 3.833
_cell_length_c 11.446
_cell_angle_alpha 90.00
_cell_angle_beta 90.00
_cell_angle_gamma 90.00
_space_group_name_H-M_alt 'A m m 2'
_space_group_IT_number 38
_space_group_name_Hall 'A 2 -2'
loop_
_atom_site_label
_atom_site_type_symbol
_atom_site_fract_x
_atom_site_fract_y
_atom_site_fract_z
_atom_site_occupancy
Dy1 Dy 0.000 0.000 0.000 1
Th1 Th 0.500 0.000 0.278 1
Ni1 Ni 0.000 0.000 0.744 1
Au1 Au 0.500 0.000 0.565 1
```

---

## DyThNiAu (PBE)

Data for a relaxed structure of DyThNiAu.

energy of formation from the pure elements = -44.4 kJ/mol of atoms
crystal system = cubic
energy relative to the lowest polymorph listed for this composition = 58 kJ/mol of formula units

Geometry as CIF:
```
data_DyThNiAu
_chemical_formula_sum 'Dy4 Th4 Ni4 Au4'
_cell_length_a 7.155
_cell_length_b 7.155
_cell_length_c 7.155
_cell_angle_alpha 90.00
_cell_angle_beta 90.00
_cell_angle_gamma 90.00
_space_group_name_H-M_alt 'F -4 3 m'
_space_group_IT_number 216
_space_group_name_Hall 'F -4 2 3'
loop_
_atom_site_label
_atom_site_type_symbol
_atom_site_fract_x
_atom_site_fract_y
_atom_site_fract_z
_atom_site_occupancy
Dy1 Dy 0.000 0.000 0.000 1
Th1 Th 0.000 0.000 0.500 1
Ni1 Ni 0.250 0.250 0.750 1
Au1 Au 0.250 0.250 0.250 1
```

---

## DyTlNiAu (PBE)

Data for a relaxed structure of DyTlNiAu.

energy of formation from the pure elements = -29.9 kJ/mol of atoms
crystal system = cubic

Geometry as CIF:
```
data_DyTlNiAu
_chemical_formula_sum 'Dy4 Tl4 Ni4 Au4'
_cell_length_a 6.848
_cell_length_b 6.848
_cell_length_c 6.848
_cell_angle_alpha 90.00
_cell_angle_beta 90.00
_cell_angle_gamma 90.00
_space_group_name_H-M_alt 'F -4 3 m'
_space_group_IT_number 216
_space_group_name_Hall 'F -4 2 3'
loop_
_atom_site_label
_atom_site_type_symbol
_atom_site_fract_x
_atom_site_fract_y
_atom_site_fract_z
_atom_site_occupancy
Dy1 Dy 0.000 0.000 0.000 1
Tl1 Tl 0.000 0.000 0.500 1
Ni1 Ni 0.250 0.250 0.750 1
Au1 Au 0.250 0.250 0.250 1
```